## Sm2Zn16Cd (PBE)

Data for Sm2Zn16Cd after structural relaxation.

## Properties
M_tot, μB per atom: 0.000
ΔH_f (0 K), kcal/mol of atoms: -5.5

abc: 9.0838 9.0838 13.2979
angles: 90.00 90.00 120.00
Last column: nearest neighbours and their distance in Å.
Space group R3m (No. 160, hexagonal axes)
Unique sites:
Sm  0.0000  0.0000  0.0000  16 Zn 3.06-3.42
Sm  0.0000  0.0000  0.3237  18 Zn 3.20-3.53, 1 Cd 3.21
Zn  0.0000  0.0000  0.7696  6 Zn 2.69-2.87, 1 Cd 2.72
Zn  0.9998  0.2981  0.6633  8 Zn 2.60-2.78
Zn  0.0127  0.5063  0.8159  8 Zn 2.56-2.78
Zn  0.1701  0.3403  0.4964  9 Zn 2.60-2.71, 1 Cd 2.83
Zn  0.1715  0.3431  0.8431  8 Zn 2.56-2.77
Cd  0.0000  0.0000  0.5649  13 Zn 2.72-3.01

## SmZnCd (PBE)

Data for SmZnCd after structural relaxation.

## Properties
M_tot, μB per atom: 0.000
ΔH_f (0 K), kcal/mol of atoms: 9.2

abc: 3.1530 3.1530 16.3905
angles: 90.00 90.00 90.00
Last column: nearest neighbours and their distance in Å.
Space group I4mm (No. 107)
Unique sites:
Sm  0.0000  0.0000  0.0000  1 Zn 3.00, 4 Sm 3.15, 1 Cd 3.19
Zn  0.0000  0.0000  0.8172  1 Sm 3.00, 4 Cd 3.00, 4 Zn 3.15
Cd  0.0000  0.0000  0.1943  4 Zn 3.00, 4 Cd 3.15, 1 Sm 3.19

## Sm8ZnCd2 (PBE)

Data for Sm8ZnCd2 after structural relaxation.

## Properties
M_tot, μB per atom: 0.000
ΔH_f (0 K), kcal/mol of atoms: -3.4
Excess energy over the best structure of this formula in the dataset, eV per atom: 0.000

abc: 18.1518 5.3940 6.7426
angles: 90.00 92.07 90.00
Last column: nearest neighbours and their distance in Å.
Space group C2/m (No. 12)
Unique sites:
Sm  0.0329  0.0000  0.2609  2 Zn 3.21, 2 Cd 3.30-3.39, 2 Sm 3.47-3.48
Sm  0.0918  0.5000  0.9062  1 Zn 3.15, 2 Cd 3.40
Sm  0.1712  0.5000  0.4035  3 Cd 3.19-3.28, 1 Zn 3.20, 2 Sm 3.51
Sm  0.2112  0.0000  0.0932  1 Cd 3.16, 5 Sm 3.31-3.51
Zn  0.0000  0.5000  0.5000  8 Sm 3.15-3.21
Cd  0.1498  0.0000  0.6481  8 Sm 3.16-3.40